A relaxed structure of LiLa2GaSe5, computed with PBE.

Output
Electronic total energy = -5.10 eV per atom
Size of the total moment = 0.00 μB per cell
Calculated density = 5.58 g/cm3

abc: 9.2669 9.2669 12.0531
angles: 90.00 90.00 154.48
With the nearest neighbours (Å) after each atom.
Fractional coordinates of all 18 atoms:
Li 0.2136 0.7864 0.5000  5 Se 2.60-2.90
Li 0.7864 0.2136 0.0000  5 Se 2.60-2.90
La 0.1222 0.8778 0.1637  8 Se 3.04-3.33
La 0.1335 0.8665 0.7858  6 Se 2.96-3.17
La 0.8665 0.1335 0.2858  6 Se 2.96-3.17
La 0.8778 0.1222 0.6637  8 Se 3.04-3.33
Ga 0.4331 0.5669 0.9318  4 Se 2.44-2.48
Ga 0.5669 0.4331 0.4318  4 Se 2.44-2.48
Se 0.0432 0.9568 0.5428  2 Ga 2.48
Se 0.2918 0.7082 0.1475  2 Li 2.71, 2 La 2.96
Se 0.3147 0.6853 0.8354  1 Ga 2.44
Se 0.3569 0.6431 0.4797  1 Li 2.60
Se 0.4991 0.5009 0.2568  1 Ga 2.44
Se 0.5009 0.4991 0.7568  1 Ga 2.44
Se 0.6431 0.3569 0.9797  1 Li 2.60
Se 0.6853 0.3147 0.3354  1 Ga 2.44
Se 0.7082 0.2918 0.6475  2 Li 2.71, 2 La 2.96
Se 0.9568 0.0432 0.0428  2 Ga 2.48